This record from the Alexandria database describes a geometry-optimized GdPaAgRu structure. The functional is GGA-PBE.

Cell and atoms, written as extended XYZ:
```
4
Lattice="4.9911 0.0000 0.0000 2.4956 4.3224 0.0000 2.4956 1.4408 4.0752" Properties=species:S:1:pos:R:3 pbc="T T T"
Ag 2.4956 1.4408 1.0188
Ru 7.4867 4.3224 3.0564
Pa 0.0000 0.0000 0.0000
Gd 4.9911 2.8816 2.0376
```

- energy (eV/atom) = -9.01
- magnetization (μB/f.u.) = 7.3
- SG = No. 216

---

This record from the Alexandria database describes a geometry-optimized CrReW2 structure. The functional is GGA-PBE.

Cell and atoms, written as extended XYZ:
```
4
Lattice="3.0892 0.0000 0.0000 0.0000 3.0892 0.0000 0.0000 0.0000 6.1940" Properties=species:S:1:pos:R:3 pbc="T T T"
W 0.0000 0.0000 3.0193
W 0.0000 0.0000 0.0777
Re 1.5446 1.5446 4.6455
Cr 1.5446 1.5446 1.5485
```

- excess energy over the best structure of this formula in the dataset (meV/atom) = 0
- energy (eV/atom) = -11.97
- magnetization (μB/f.u.) = 0.0
- SG = No. 123